1.
## BiNCl3 (PBE)

Data for an optimized crystal structure of BiNCl3.

Calculated values
- SG: P-1, No. 2
- Offset from the most stable computed form: 0 meV per atom

Structure (POSCAR):
```
BiNCl3
1.0
5.433 0.000 0.000
0.002 8.220 0.000
1.681 0.189 8.596
Bi N Cl
2 2 6
Direct
0.002 0.250 0.495
0.998 0.750 0.505
0.319 0.758 0.940
0.681 0.242 0.060
0.066 0.528 0.286
0.066 0.981 0.286
0.496 0.749 0.527
0.504 0.251 0.473
0.934 0.019 0.714
0.934 0.472 0.714
```

2.
## LaMgIr2 (PBE)

Data for an optimized crystal structure of LaMgIr2.

Calculated values
- Formation energy from the elements: -42 kJ/mol of formula units
- SG: Pmm2, No. 25

Structure (POSCAR):
```
LaMgIr2
1.0
3.061 0.000 0.000
0.000 4.391 0.000
0.000 0.000 5.822
La Mg Ir
1 1 2
Direct
0.000 0.000 0.000
0.500 0.500 0.347
0.000 0.000 0.503
0.500 0.500 0.792
```

Repeat the second record exactly.
## LaMgIr2 (PBE)

Data for an optimized crystal structure of LaMgIr2.

Calculated values
- Formation energy from the elements: -42 kJ/mol of formula units
- SG: Pmm2, No. 25

Structure (POSCAR):
```
LaMgIr2
1.0
3.061 0.000 0.000
0.000 4.391 0.000
0.000 0.000 5.822
La Mg Ir
1 1 2
Direct
0.000 0.000 0.000
0.500 0.500 0.347
0.000 0.000 0.503
0.500 0.500 0.792
```

Please write out number 1 again, unchanged.
## BiNCl3 (PBE)

Data for an optimized crystal structure of BiNCl3.

Calculated values
- SG: P-1, No. 2
- Offset from the most stable computed form: 0 meV per atom

Structure (POSCAR):
```
BiNCl3
1.0
5.433 0.000 0.000
0.002 8.220 0.000
1.681 0.189 8.596
Bi N Cl
2 2 6
Direct
0.002 0.250 0.495
0.998 0.750 0.505
0.319 0.758 0.940
0.681 0.242 0.060
0.066 0.528 0.286
0.066 0.981 0.286
0.496 0.749 0.527
0.504 0.251 0.473
0.934 0.019 0.714
0.934 0.472 0.714
```